A plane-wave DFT calculation with PBE-GGA was carried out for a relaxed structure of Tl2PRu.

a = 3.624 Å, b = 3.578 Å, c = 6.135 Å
α = 90.00°, β = 96.90°, γ = 90.00°
Atoms (fractional coordinates):
Tl (0.017, 0.000, 0.247)
Tl (0.983, 0.000, 0.753)
P (0.500, 0.500, 0.500)
Ru (0.500, 0.500, 0.000)

Computed properties:
Energy relative to the elements   0.70 eV/atom
Space group   P2/m
Magnetic moment   0.000 Bohr magnetons per cell
Energy   -4.155 eV per atom